Entry i
VASP calculation (PBE) on a relaxed RbTcW2 crystal.

POSCAR file:
```
RbTcW2
1.0
0.000 3.295 3.295
3.295 0.000 3.295
3.295 3.295 0.000
Tc Rb W
1 1 2
Direct
0.500 0.500 0.500
0.000 0.000 0.000
0.250 0.250 0.250
0.750 0.750 0.750
```

## Properties
Its spin magnetization is 0.0 Bohr magnetons per cell.


Entry ii
VASP calculation (PBE) on a relaxed RbTcW2 crystal.

POSCAR file:
```
RbTcW2
1.0
-3.792 0.316 -3.547
-3.541 -0.890 3.706
-4.291 8.074 1.491
W Rb Tc
4 2 2
Direct
0.375 0.125 0.750
0.875 0.625 0.250
0.875 0.125 0.250
0.875 0.125 0.750
0.250 0.750 0.500
0.500 0.500 0.000
0.000 0.000 0.000
0.750 0.250 0.500
```

## Properties
Its spin magnetization is 0.0 Bohr magnetons per cell.


Going by the energies, entry i is most stable and the next is 0.078 eV/atom up.


Entry i
VASP calculation (PBE) on a relaxed RbY2Tc crystal.

POSCAR file:
```
RbY2Tc
1.0
0.000 3.746 3.746
3.746 0.000 3.746
3.746 3.746 0.000
Y Tc Rb
2 1 1
Direct
0.250 0.250 0.250
0.750 0.750 0.750
0.500 0.500 0.500
0.000 0.000 0.000
```

## Properties
Its spin magnetization is 0.0 Bohr magnetons per cell.


Entry ii
VASP calculation (PBE) on a relaxed RbY2Tc crystal.

POSCAR file:
```
RbY2Tc
1.0
-5.765 -5.752 0.833
5.089 -5.563 -3.189
1.650 -6.881 4.131
Y Rb Tc
4 2 2
Direct
0.375 0.125 0.750
0.875 0.125 0.750
0.875 0.625 0.250
0.875 0.125 0.250
0.250 0.750 0.500
0.500 0.500 0.000
0.750 0.250 0.500
0.000 0.000 0.000
```

## Properties
Its spin magnetization is 0.0 Bohr magnetons per cell.


Going by the energies, entry ii is most stable and the next is 0.141 eV/atom up.


Entry i
VASP calculation (PBE) on a relaxed RbYTc2 crystal.

POSCAR file:
```
RbYTc2
1.0
0.000 3.578 3.578
3.578 0.000 3.578
3.578 3.578 0.000
Tc Rb Y
2 1 1
Direct
0.250 0.250 0.250
0.750 0.750 0.750
0.000 0.000 0.000
0.500 0.500 0.500
```

## Properties
Its spin magnetization is 3.5 Bohr magnetons per cell.


Entry ii
VASP calculation (PBE) on a relaxed RbYTc2 crystal.

POSCAR file:
```
RbYTc2
1.0
-3.655 2.581 -0.375
-2.377 -3.030 2.308
-0.557 4.533 9.747
Y Tc Rb
2 4 2
Direct
0.750 0.250 0.500
0.000 0.000 0.000
0.375 0.251 0.750
0.749 0.125 0.250
0.001 0.625 0.250
0.875 0.999 0.750
0.250 0.750 0.500
0.500 0.500 0.000
```

## Properties
Its spin magnetization is 0.0 Bohr magnetons per cell.


Going by the energies, entry ii is most stable and the next is 0.197 eV/atom up.


Entry i
VASP calculation (PBE) on a relaxed RbZn3Tc crystal.

POSCAR file:
```
RbZn3Tc
1.0
-3.542 -2.976 -1.978
-0.267 -2.557 4.325
-3.563 3.150 1.642
Rb Zn Tc
1 3 1
Direct
0.500 0.500 0.500
0.000 0.500 0.000
0.500 0.000 0.000
0.000 0.000 0.500
0.000 0.000 0.000
```

## Properties
Its spin magnetization is 1.0 Bohr magnetons per cell.


Entry ii
VASP calculation (PBE) on a relaxed RbZn3Tc crystal.

POSCAR file:
```
RbZn3Tc
1.0
6.104 0.000 0.000
0.000 6.104 0.000
0.000 0.000 6.104
Zn Rb Tc
3 1 1
Direct
0.000 0.000 0.500
0.000 0.500 0.000
0.500 0.000 0.000
0.000 0.000 0.000
0.500 0.500 0.500
```

## Properties
Its spin magnetization is 4.1 Bohr magnetons per cell.


Going by the energies, entry i is most stable and the next is 1.419 eV/atom up.


Entry i
VASP calculation (PBE) on a relaxed Rb2ZrTc crystal.

POSCAR file:
```
Rb2ZrTc
1.0
-2.531 -0.215 4.881
-0.731 4.603 2.925
-5.045 2.120 0.579
Rb Tc Zr
2 1 1
Direct
0.750 0.750 0.750
0.250 0.250 0.250
0.500 0.500 0.500
0.000 0.000 0.000
```

## Properties
Its spin magnetization is 0.0 Bohr magnetons per cell.


Entry ii
VASP calculation (PBE) on a relaxed Rb2ZrTc crystal.

POSCAR file:
```
Rb2ZrTc
1.0
-5.060 2.591 12.062
-6.018 -11.899 0.031
-3.638 -5.613 7.050
Zr Tc Rb
2 2 4
Direct
0.500 0.500 0.000
0.250 0.750 0.500
0.000 0.000 0.000
0.750 0.250 0.500
0.875 0.042 0.750
0.958 0.625 0.250
0.375 0.208 0.750
0.792 0.125 0.250
```

## Properties
Its spin magnetization is 0.0 Bohr magnetons per cell.


Going by the energies, entry ii is most stable and the next is 1.045 eV/atom up.


Entry i
VASP calculation (PBE) on a relaxed RbZr3Tc crystal.

POSCAR file:
```
RbZr3Tc
1.0
-1.674 -4.626 0.099
3.372 -1.148 3.395
-3.169 1.223 3.560
Zr Tc Rb
3 1 1
Direct
0.000 0.500 0.000
0.500 0.000 0.000
0.000 0.000 0.500
0.500 0.500 0.500
0.000 0.000 0.000
```

## Properties
Its spin magnetization is 0.0 Bohr magnetons per cell.


Entry ii
VASP calculation (PBE) on a relaxed RbZr3Tc crystal.

POSCAR file:
```
RbZr3Tc
1.0
5.226 0.000 0.000
0.000 5.226 0.000
0.000 0.000 5.226
Zr Tc Rb
3 1 1
Direct
0.000 0.500 0.000
0.000 0.000 0.500
0.500 0.000 0.000
0.000 0.000 0.000
0.500 0.500 0.500
```

## Properties
Its spin magnetization is 0.8 Bohr magnetons per cell.


Going by the energies, entry ii is most stable and the next is 1.747 eV/atom up.


Entry i
VASP calculation (PBE) on a relaxed RbTe3 crystal.

POSCAR file:
```
RbTe3
1.0
-3.517 -4.897 -1.210
1.969 -3.983 -6.814
2.776 -7.004 3.066
Te Rb
6 2
Direct
0.346 0.936 0.936
0.269 0.177 0.622
0.731 0.823 0.378
0.269 0.622 0.177
0.731 0.378 0.823
0.654 0.064 0.064
0.890 0.300 0.300
0.110 0.700 0.700
```

## Properties
Its spin magnetization is 0.0 Bohr magnetons per cell.


Entry ii
VASP calculation (PBE) on a relaxed RbTe3 crystal.

POSCAR file:
```
RbTe3
1.0
3.722 0.000 0.000
0.000 4.537 0.000
0.000 0.000 8.977
Te Rb
3 1
Direct
0.500 0.500 0.850
0.000 0.000 0.960
0.500 0.000 0.552
0.000 0.500 0.304
```

## Properties
Its spin magnetization is 0.0 Bohr magnetons per cell.


Going by the energies, entry i is most stable and the next is 0.244 eV/atom up.


Entry i
VASP calculation (PBE) on a relaxed RbTe6 crystal.

POSCAR file:
```
RbTe6
1.0
7.637 0.000 0.000
-2.546 7.200 0.000
-2.546 -3.600 6.235
Te Rb
6 1
Direct
0.750 0.250 0.500
0.250 0.750 0.500
0.500 0.250 0.750
0.750 0.500 0.250
0.500 0.750 0.250
0.250 0.500 0.750
0.000 0.000 0.000
```

## Properties
Its spin magnetization is 0.0 Bohr magnetons per cell.


Entry ii
VASP calculation (PBE) on a relaxed RbTe6 crystal.

POSCAR file:
```
RbTe6
1.0
-4.421 -0.492 5.594
-3.853 -5.976 0.725
5.346 -7.308 8.854
Te Rb
12 2
Direct
0.780 0.373 0.445
0.627 0.220 0.055
0.373 0.780 0.945
0.124 0.242 0.910
0.765 0.798 0.352
0.242 0.124 0.410
0.220 0.627 0.555
0.758 0.876 0.590
0.235 0.202 0.648
0.202 0.235 0.148
0.876 0.758 0.090
0.798 0.765 0.852
0.381 0.619 0.250
0.619 0.381 0.750
```

## Properties
Its spin magnetization is 0.0 Bohr magnetons per cell.


Going by the energies, entry ii is most stable and the next is 0.368 eV/atom up.


Entry i
VASP calculation (PBE) on a relaxed RbThTe3 crystal.

POSCAR file:
```
RbThTe3
1.0
6.334 0.000 0.000
-3.167 8.478 0.657
0.000 -2.640 8.275
Th Te Rb
2 6 2
Direct
0.852 0.704 0.100
0.148 0.296 0.900
0.142 0.284 0.561
0.333 0.667 0.063
0.957 0.915 0.830
0.043 0.085 0.170
0.858 0.716 0.439
0.667 0.333 0.937
0.368 0.735 0.631
0.632 0.265 0.369
```

## Properties
Its spin magnetization is 0.0 Bohr magnetons per cell.


Entry ii
VASP calculation (PBE) on a relaxed RbThTe3 crystal.

POSCAR file:
```
RbThTe3
1.0
-5.520 -2.649 -0.376
0.521 -0.219 -6.109
2.625 -5.529 0.422
Th Rb Te
1 1 3
Direct
0.000 0.000 0.000
0.500 0.500 0.500
0.000 0.000 0.500
0.500 0.000 0.000
0.000 0.500 0.000
```

## Properties
Its spin magnetization is 0.0 Bohr magnetons per cell.


Going by the energies, entry i is most stable and the next is 0.032 eV/atom up.


Entry i
VASP calculation (PBE) on a relaxed RbTh2Te4 crystal.

POSCAR file:
```
RbTh2Te4
1.0
7.979 1.381 -3.050
-3.378 7.358 -3.049
-0.385 -0.730 9.712
Rb Th Te
2 4 8
Direct
0.250 0.750 0.500
0.999 0.000 0.000
0.624 0.375 0.749
0.625 0.875 0.250
0.125 0.375 0.751
0.626 0.375 0.250
0.850 0.586 0.656
0.444 0.679 0.844
0.930 0.194 0.344
0.806 0.070 0.656
0.414 0.149 0.343
0.836 0.600 0.156
0.399 0.164 0.844
0.321 0.556 0.157
```

## Properties
Its spin magnetization is 0.0 Bohr magnetons per cell.


Entry ii
VASP calculation (PBE) on a relaxed RbTh2Te4 crystal.

POSCAR file:
```
RbTh2Te4
1.0
-3.069 -3.381 0.520
6.435 -2.101 4.009
-5.705 7.162 12.912
Th Rb Te
4 2 8
Direct
0.871 0.741 0.563
0.129 0.259 0.437
0.871 0.741 0.937
0.129 0.259 0.063
0.391 0.782 0.250
0.609 0.218 0.750
0.233 0.467 0.889
0.923 0.845 0.750
0.500 0.000 0.000
0.077 0.155 0.250
0.767 0.533 0.389
0.500 0.000 0.500
0.767 0.533 0.111
0.233 0.467 0.611
```

## Properties
Its spin magnetization is 0.0 Bohr magnetons per cell.


Going by the energies, entry ii is most stable and the next is 0.082 eV/atom up.


Entry i
VASP calculation (PBE) on a relaxed Rb4ThTe4 crystal.

POSCAR file:
```
Rb4ThTe4
1.0
4.769 0.000 1.127
1.998 8.522 2.199
-0.093 0.095 11.046
Te Th Rb
4 1 4
Direct
0.932 0.235 0.900
0.689 0.878 0.745
0.311 0.122 0.255
0.068 0.765 0.100
0.500 0.000 0.000
0.130 0.144 0.595
0.870 0.856 0.405
0.298 0.573 0.831
0.702 0.427 0.169
```

## Properties
Its spin magnetization is 0.0 Bohr magnetons per cell.


Entry ii
VASP calculation (PBE) on a relaxed Rb4ThTe4 crystal.

POSCAR file:
```
Rb4ThTe4
1.0
8.772 0.000 0.000
0.000 8.772 0.000
-4.386 -4.386 7.507
Te Rb Th
4 4 1
Direct
0.917 0.314 0.231
0.083 0.083 0.769
0.314 0.917 0.231
0.686 0.686 0.769
0.500 0.000 0.000
0.000 0.500 0.000
0.300 0.300 0.599
0.700 0.700 0.401
0.000 0.000 0.000
```

## Properties
Its spin magnetization is 0.0 Bohr magnetons per cell.


Going by the energies, entry i is most stable and the next is 0.073 eV/atom up.


Entry i
VASP calculation (PBE) on a relaxed RbThTe4 crystal.

POSCAR file:
```
RbThTe4
1.0
7.007 0.000 0.000
0.000 7.007 0.000
0.000 0.000 9.267
Te Th Rb
8 2 2
Direct
0.349 0.151 0.201
0.151 0.651 0.201
0.651 0.151 0.799
0.849 0.349 0.201
0.151 0.349 0.799
0.349 0.849 0.799
0.849 0.651 0.799
0.651 0.849 0.201
0.500 0.500 0.000
0.000 0.000 0.000
0.500 0.500 0.500
0.000 0.000 0.500
```

## Properties
Its spin magnetization is 0.0 Bohr magnetons per cell.


Entry ii
VASP calculation (PBE) on a relaxed RbThTe4 crystal.

POSCAR file:
```
RbThTe4
1.0
5.410 0.365 -0.322
1.705 5.147 -0.322
0.512 0.396 8.737
Te Rb Th
4 1 1
Direct
0.643 0.643 0.097
0.357 0.357 0.903
0.888 0.888 0.337
0.112 0.112 0.663
0.500 0.500 0.500
0.000 0.000 0.000
```

## Properties
Its spin magnetization is 0.0 Bohr magnetons per cell.


Going by the energies, entry i is most stable and the next is 0.099 eV/atom up.